# 1
Computed, not measured: a relaxed structure of Pt2Se at the PBE-GGA level of DFT.

Values from the calculation:
Raw total energy in eV for the cell shown: -61.49
Total magnetic moment in μB per formula unit: 0.00

Structure (POSCAR):
```
Pt2Se
1.0
5.600 0.000 0.000
-2.800 4.850 0.000
0.000 0.000 9.165
Pt Se
8 4
Direct
0.000 0.000 0.000
0.000 0.000 0.500
0.158 0.315 0.250
0.158 0.842 0.250
0.315 0.158 0.750
0.685 0.842 0.250
0.842 0.158 0.750
0.842 0.685 0.750
0.333 0.667 0.057
0.333 0.667 0.443
0.667 0.333 0.557
0.667 0.333 0.943
```

# 2
Computed, not measured: a relaxed structure of Cs3Mn2TlCl9 at the PBE-GGA level of DFT.

Values from the calculation:
Raw total energy in eV for the cell shown: -61.52
Total magnetic moment in μB per formula unit: 9.00

Structure (POSCAR):
```
Cs3Mn2TlCl9
1.0
7.467 0.000 0.000
-3.733 6.466 0.000
0.000 0.000 9.425
Cs Mn Tl Cl
3 2 1 9
Direct
0.000 0.000 0.000
0.333 0.667 0.673
0.667 0.333 0.327
0.333 0.667 0.155
0.667 0.333 0.845
0.000 0.000 0.500
0.000 0.500 0.000
0.181 0.361 0.300
0.181 0.819 0.300
0.361 0.181 0.700
0.500 0.000 0.000
0.500 0.500 0.000
0.639 0.819 0.300
0.819 0.181 0.700
0.819 0.639 0.700
```

# 3
Computed, not measured: a relaxed structure of KMnW2 at the PBE-GGA level of DFT.

Values from the calculation:
Energy of formation from the pure elements in eV per formula unit: 5.803
Raw total energy in eV for the cell shown: -30.37
Total magnetic moment in μB per formula unit: 3.15

Structure (POSCAR):
```
KMnW2
1.0
2.743 -5.348 0.000
2.743 5.348 0.000
-0.895 0.000 2.524
K Mn W
1 1 2
Direct
0.000 0.000 0.000
0.500 0.500 0.000
0.000 0.500 0.500
0.500 0.000 0.500
```

# 4
Computed, not measured: a relaxed structure of TiAl2FeCl at the PBE-GGA level of DFT.

Values from the calculation:
Raw total energy in eV for the cell shown: -21.03
Total magnetic moment in μB per formula unit: 0.04

Structure (POSCAR):
```
TiAl2FeCl
1.0
4.541 0.000 0.000
0.000 4.541 0.000
0.000 0.000 4.320
Ti Al Fe Cl
1 2 1 1
Direct
0.000 0.000 0.000
0.000 0.500 0.500
0.500 0.000 0.500
0.500 0.500 0.000
0.000 0.000 0.500
```

# 5
Computed, not measured: a relaxed structure of Ce6Ir2Br3N at the PBE-GGA level of DFT.

Values from the calculation:
Raw total energy in eV for the cell shown: -80.10
Total magnetic moment in μB per formula unit: 6.12

Structure (POSCAR):
```
Ce6Ir2Br3N
1.0
3.412 -5.908 0.000
3.412 5.908 0.000
-2.260 0.000 7.677
Ce Ir Br N
6 2 3 1
Direct
0.064 0.366 0.191
0.236 0.236 0.806
0.366 0.064 0.191
0.634 0.936 0.809
0.764 0.764 0.194
0.936 0.634 0.809
0.334 0.666 0.000
0.666 0.334 0.000
0.174 0.826 0.500
0.500 0.500 0.500
0.826 0.174 0.500
0.000 0.000 0.000
```

# 6
Computed, not measured: a relaxed structure of Ta2AsOs at the PBE-GGA level of DFT.

Values from the calculation:
Energy of formation from the pure elements in eV per formula unit: -0.367
Raw total energy in eV for the cell shown: -39.95
Total magnetic moment in μB per formula unit: 0.00

Structure (POSCAR):
```
Ta2AsOs
1.0
3.020 0.000 0.000
0.000 3.640 0.000
-1.051 0.000 6.075
Ta As Os
2 1 1
Direct
0.055 0.000 0.245
0.945 0.000 0.755
0.500 0.500 0.500
0.500 0.500 0.000
```

# 7
Computed, not measured: a relaxed structure of Er3PCl3 at the PBE-GGA level of DFT.

Values from the calculation:
Raw total energy in eV for the cell shown: -74.23
Total magnetic moment in μB per formula unit: 0.01

Structure (POSCAR):
```
Er3PCl3
1.0
3.330 1.922 10.042
-3.330 1.922 10.042
0.000 -3.845 10.042
Er P Cl
6 2 6
Direct
0.113 0.450 0.787
0.213 0.887 0.550
0.450 0.787 0.113
0.550 0.213 0.887
0.787 0.113 0.450
0.887 0.550 0.213
0.167 0.167 0.167
0.833 0.833 0.833
0.064 0.727 0.395
0.273 0.605 0.936
0.395 0.064 0.727
0.605 0.936 0.273
0.727 0.395 0.064
0.936 0.273 0.605
```

# 8
Computed, not measured: a relaxed structure of Nb13Mo2 at the PBE-GGA level of DFT.

Values from the calculation:
Energy of formation from the pure elements in eV per formula unit: 11.603
Raw total energy in eV for the cell shown: -140.97
Total magnetic moment in μB per formula unit: 0.00

Structure (POSCAR):
```
Nb13Mo2
1.0
3.681 2.125 6.799
-3.681 2.125 6.799
0.000 -4.251 6.799
Nb Mo
13 2
Direct
0.000 0.000 0.000
0.111 0.111 0.497
0.111 0.497 0.111
0.248 0.248 0.638
0.248 0.638 0.248
0.362 0.752 0.752
0.497 0.111 0.111
0.503 0.889 0.889
0.638 0.248 0.248
0.752 0.362 0.752
0.752 0.752 0.362
0.889 0.503 0.889
0.889 0.889 0.503
0.129 0.129 0.129
0.871 0.871 0.871
```

# 9
Computed, not measured: a relaxed structure of InTcSn2 at the PBE-GGA level of DFT.

Values from the calculation:
Energy of formation from the pure elements in eV per formula unit: 0.462
Raw total energy in eV for the cell shown: -20.65
Total magnetic moment in μB per formula unit: 0.00

Structure (POSCAR):
```
InTcSn2
1.0
1.641 0.948 9.852
-1.641 0.948 9.852
0.000 -1.895 9.852
In Tc Sn
1 1 2
Direct
0.000 0.000 0.000
0.500 0.500 0.500
0.100 0.100 0.100
0.900 0.900 0.900
```

# 10
Computed, not measured: a relaxed structure of HoCo2PC at the PBE-GGA level of DFT.

Values from the calculation:
Energy of formation from the pure elements in eV per formula unit: -3.356
Raw total energy in eV for the cell shown: -73.56
Total magnetic moment in μB per formula unit: 0.00

Structure (POSCAR):
```
HoCo2PC
1.0
1.823 -5.232 0.000
1.823 5.232 0.000
0.000 0.000 6.616
Ho Co P C
2 4 2 2
Direct
0.044 0.956 0.750
0.956 0.044 0.250
0.334 0.666 0.555
0.334 0.666 0.945
0.666 0.334 0.055
0.666 0.334 0.445
0.231 0.769 0.250
0.769 0.231 0.750
0.500 0.500 0.000
0.500 0.500 0.500
```

# 11
Computed, not measured: a relaxed structure of DyPaAgGe at the PBE-GGA level of DFT.

Values from the calculation:
Energy of formation from the pure elements in eV per formula unit: -0.634
Raw total energy in eV for the cell shown: -22.20
Total magnetic moment in μB per formula unit: 1.48

Structure (POSCAR):
```
DyPaAgGe
1.0
0.000 3.600 3.600
3.600 0.000 3.600
3.600 3.600 0.000
Dy Pa Ag Ge
1 1 1 1
Direct
0.000 0.000 0.000
0.500 0.500 0.500
0.750 0.750 0.750
0.250 0.250 0.250
```

# 12
Computed, not measured: a relaxed structure of Rb2GaHSe at the PBE-GGA level of DFT.

Values from the calculation:
Raw total energy in eV for the cell shown: -12.40
Total magnetic moment in μB per formula unit: 0.00

Structure (POSCAR):
```
Rb2GaHSe
1.0
6.629 0.000 0.000
0.000 6.629 0.000
0.000 0.000 5.222
Rb Ga H Se
2 1 1 1
Direct
0.000 0.500 0.000
0.500 0.000 0.000
0.000 0.000 0.500
0.500 0.500 0.500
0.000 0.000 0.000
```